1.
Computed, not measured: crystalline TlTcHgCl6 at its relaxed geometry at the PBE level of DFT.

Cell: 6.9576 6.9576 8.1720 Å, 90.00 90.00 120.00°
With the nearest neighbours (Å) after each atom.
Sites, in units of the cell vectors:
Tl  0.0000  0.0000  0.0000  6 Cl 2.88
Tc  0.3333  0.6667  0.0000  6 Cl 2.36
Hg  0.6667  0.3333  0.5000  6 Cl 3.72
Cl  0.0558  0.3901  0.1662  1 Tc 2.36
Cl  0.0558  0.6657  0.8338  1 Tc 2.36
Cl  0.3343  0.3901  0.8338  1 Tc 2.36
Cl  0.3343  0.9442  0.1662  1 Tc 2.36
Cl  0.6099  0.6657  0.1662  1 Tc 2.36
Cl  0.6099  0.9442  0.8338  1 Tc 2.36

Properties
The calculation puts the uncorrected formation energy at -657 meV/atom. The density is 3.5 g/cm³. The volume is 342.59 Å³/f.u. The value obtained for the magnetic moment is 1.95 μB per formula unit.

---

2.
Computed, not measured: crystalline ZrTcHg2Cl at its relaxed geometry at the PBE level of DFT.

Cell: 5.6430 5.6430 4.8431 Å, 90.00 90.00 90.00°
With the nearest neighbours (Å) after each atom.
Sites, in units of the cell vectors:
Zr  0.0000  0.0000  0.0000  2 Cl 2.42
Tc  0.5000  0.5000  0.5000  8 Hg 3.72, 4 Cl 3.99
Hg  0.0000  0.5000  0.0000  2 Zr 2.82
Hg  0.5000  0.0000  0.0000  2 Zr 2.82
Cl  0.0000  0.0000  0.5000  2 Zr 2.42

Properties
The calculation puts the uncorrected formation energy at 887 meV/atom. The density is 6.7 g/cm³. The volume is 154.22 Å³/f.u. The value obtained for the magnetic moment is 3.45 μB per formula unit.

---

3.
Computed, not measured: crystalline Zr2TcHgCl at its relaxed geometry at the PBE level of DFT.

Cell: 5.3635 5.3635 5.0902 Å, 90.00 90.00 90.00°
With the nearest neighbours (Å) after each atom.
Sites, in units of the cell vectors:
Zr  0.0000  0.5000  0.0000  2 Hg 2.68
Zr  0.5000  0.0000  0.0000  2 Hg 2.68
Tc  0.0000  0.0000  0.5000  2 Hg 2.55
Hg  0.0000  0.0000  0.0000  2 Tc 2.55, 4 Zr 2.68
Cl  0.5000  0.5000  0.5000  8 Zr 3.70, 4 Tc 3.79

Properties
The calculation puts the uncorrected formation energy at 1362 meV/atom. The density is 5.9 g/cm³. The volume is 146.43 Å³/f.u. The value obtained for the magnetic moment is 1.57 μB per formula unit.

---

4.
Computed, not measured: crystalline Hg2TeCl at its relaxed geometry at the PBE level of DFT.

Cell: 3.2594 5.0806 6.5952 Å, 90.00 90.00 90.00°
With the nearest neighbours (Å) after each atom.
Sites, in units of the cell vectors:
Hg  0.0000  0.0000  0.0000  6 Hg 3.02-3.26
Hg  0.5000  0.5000  0.0000  6 Hg 3.02-3.26
Te  0.0000  0.5000  0.5000  4 Cl 3.02, 2 Te 3.26
Cl  0.5000  0.0000  0.5000  4 Te 3.02, 2 Cl 3.26

Properties
The calculation puts the uncorrected formation energy at 43 meV/atom. The density is 8.6 g/cm³. The calculation puts the excess energy over the best structure of this formula in the dataset at 307.4 meV/atom. The volume is 109.21 Å³/f.u. The value obtained for the magnetic moment is 0.00 μB per formula unit.